Entry 1:
First-principles (GGA-PBE) data for a relaxed structure of LiErZr, as listed in OQMD via LeMat-Bulk. Values from VASP.

Properties
* total magnetic moment: 0.15 μB per atom

The structure in Quantum ESPRESSO input format:
```
&SYSTEM
  ibrav = 0, nat = 3, ntyp = 3
/
ATOMIC_SPECIES
Zr 91.22 Zr.upf
Li 6.94 Li.upf
Er 167.26 Er.upf
CELL_PARAMETERS angstrom
-1.495 -4.150 2.010
-4.588 -0.453 1.497
-3.058 -2.893 -2.403
ATOMIC_POSITIONS crystal
Zr 0.750 0.750 0.750
Li 0.250 0.250 0.250
Er 0.000 0.000 0.000
```

Entry 2:
First-principles (GGA-PBE) data for a relaxed structure of Er3Lu5, as listed in OQMD via LeMat-Bulk. Values from VASP.

Properties
* total magnetic moment: 0.00 μB per atom

The structure in Quantum ESPRESSO input format:
```
&SYSTEM
  ibrav = 0, nat = 8, ntyp = 2
/
ATOMIC_SPECIES
Lu 174.97 Lu.upf
Er 167.26 Er.upf
CELL_PARAMETERS angstrom
5.482 0.000 0.000
0.000 3.529 6.113
0.000 -3.529 6.113
ATOMIC_POSITIONS crystal
Lu 0.000 0.834 0.332
Lu 0.000 0.834 0.834
Lu 0.000 0.332 0.834
Lu 0.500 0.667 0.167
Lu 0.500 0.167 0.667
Er 0.500 0.666 0.666
Er 0.500 0.166 0.166
Er 0.000 0.333 0.333
```

Entry 3:
First-principles (GGA-PBE) data for a relaxed structure of Er7Lu, as listed in OQMD via LeMat-Bulk. Values from VASP.

Properties
* total magnetic moment: 0.01 μB per atom

The structure in Quantum ESPRESSO input format:
```
&SYSTEM
  ibrav = 0, nat = 8, ntyp = 2
/
ATOMIC_SPECIES
Er 167.26 Er.upf
Lu 174.97 Lu.upf
CELL_PARAMETERS angstrom
-4.218 -0.178 -3.560
-4.470 -1.387 5.366
-3.159 5.352 3.476
ATOMIC_POSITIONS crystal
Er 0.000 0.333 0.333
Er 0.500 0.166 0.667
Er 0.500 0.667 0.166
Er 0.500 0.167 0.167
Er 0.500 0.667 0.667
Er 0.000 0.333 0.834
Er 0.000 0.834 0.333
Lu 0.000 0.833 0.833
```

Entry 4:
First-principles (GGA-PBE) data for a relaxed structure of Er2Lu, as listed in OQMD via LeMat-Bulk. Values from VASP.

Properties
* ΔE to the lowest computed polymorph: 0 meV/atom
* total magnetic moment: 0.00 μB per atom

The structure in Quantum ESPRESSO input format:
```
&SYSTEM
  ibrav = 0, nat = 6, ntyp = 2
/
ATOMIC_SPECIES
Er 167.26 Er.upf
Lu 174.97 Lu.upf
CELL_PARAMETERS angstrom
2.997 -5.138 2.415
-1.853 -2.440 5.641
-3.010 -5.666 0.213
ATOMIC_POSITIONS crystal
Er 0.625 0.625 0.625
Er 0.125 0.625 0.625
Er 0.625 0.125 0.625
Er 0.625 0.625 0.125
Lu 0.000 0.000 0.000
Lu 0.250 0.250 0.250
```

Number 1: E -3.83 eV per atom. Number 2: E -4.54 eV per atom. Number 3: E -4.56 eV per atom. Number 4: E -4.29 eV per atom.